1.
RbBa5Cd4 | PBE | relaxed

Values from the calculation:
- energy of formation from the pure elements (kcal/mol of atoms) = -5.68

Lattice parameters (Å, degrees): 4.2979 4.2979 24.3325 90.00 90.00 90.00
Space group P4/mmm (No. 123)
Symmetry-distinct sites (fractional):
Rb  0.0000  0.0000  0.0000
Ba  0.5000  0.5000  0.1556
Ba  0.5000  0.5000  0.3257
Ba  0.5000  0.5000  0.5000
Cd  0.0000  0.0000  0.2362
Cd  0.0000  0.0000  0.4133

---

2.
Rb2BaCd | PBE | relaxed

Values from the calculation:
- energy of formation from the pure elements (kcal/mol of atoms) = 3.42

Lattice parameters (Å, degrees): 5.5032 5.5032 30.5868 90.00 90.00 90.00
Space group I-42d (No. 122)
Symmetry-distinct sites (fractional):
Rb  0.2278  0.2500  0.1250
Ba  0.0000  0.0000  0.5000
Cd  0.0000  0.0000  0.0000

---

3.
Rb2BaCd2 | PBE | relaxed

Values from the calculation:
- offset from the most stable computed form (meV per atom) = 121
- energy of formation from the pure elements (kcal/mol of atoms) = 1.93

Lattice parameters (Å, degrees): 10.4157 10.4157 4.2266 90.00 90.00 90.00
Space group P4/mbm (No. 127)
Symmetry-distinct sites (fractional):
Rb  0.1234  0.3766  0.0000
Ba  0.0000  0.0000  0.0000
Cd  0.1809  0.6809  0.5000

---

4.
Rb2BaCd2 | PBE | relaxed

Values from the calculation:
- offset from the most stable computed form (meV per atom) = 53
- energy of formation from the pure elements (kcal/mol of atoms) = 0.37

Lattice parameters (Å, degrees): 5.3728 5.3728 16.7877 90.00 90.00 90.00
Space group I4/mmm (No. 139)
Symmetry-distinct sites (fractional):
Rb  0.0000  0.5000  0.2500
Ba  0.0000  0.0000  0.0000
Cd  0.0000  0.0000  0.4141

---

5.
RbBa2Cd | PBE | relaxed

Values from the calculation:
- energy of formation from the pure elements (kcal/mol of atoms) = -3.13

Lattice parameters (Å, degrees): 4.3503 4.3503 11.6783 90.00 90.00 90.00
Space group P4/mmm (No. 123)
Symmetry-distinct sites (fractional):
Rb  0.0000  0.0000  0.0000
Ba  0.5000  0.5000  0.3293
Cd  0.0000  0.0000  0.5000

---

6.
RbBaCd17 | PBE | relaxed

Values from the calculation:
- energy of formation from the pure elements (kcal/mol of atoms) = -2.70

Lattice parameters (Å, degrees): 10.4455 10.4455 15.3280 90.00 90.00 120.00
Space group R3m (No. 160, hexagonal axes)
Symmetry-distinct sites (fractional):
Rb  0.0000  0.0000  0.0000
Ba  0.0000  0.0000  0.3222
Cd  0.0000  0.0000  0.5605
Cd  0.0000  0.0000  0.7592
Cd  0.0003  0.2945  0.6600
Cd  0.0008  0.5004  0.1598
Cd  0.0048  0.5024  0.8106
Cd  0.1702  0.3404  0.8427

---

7.
RbBa3Cd | PBE | relaxed

Values from the calculation:
- offset from the most stable computed form (meV per atom) = 731
- energy of formation from the pure elements (kcal/mol of atoms) = 16.47

Lattice parameters (Å, degrees): 6.9688 6.9688 6.9688 90.00 90.00 90.00
Space group Pm-3m (No. 221)
Symmetry-distinct sites (fractional):
Rb  0.0000  0.0000  0.0000
Ba  0.0000  0.0000  0.5000
Cd  0.5000  0.5000  0.5000

---

8.
Rb2BaCd | PBE | relaxed

Values from the calculation:
- energy of formation from the pure elements (kcal/mol of atoms) = 3.75

Lattice parameters (Å, degrees): 4.5005 4.5005 43.3223 90.00 90.00 120.00
Space group R-3m (No. 166, hexagonal axes)
Symmetry-distinct sites (fractional):
Rb  0.0000  0.0000  0.1015
Ba  0.0000  0.0000  0.0000
Cd  0.0000  0.0000  0.5000